Pm2DyTmSb4: relaxed, GGA-PBE.

```
8
Lattice="4.4311 0.0000 0.0000 0.0000 7.6684 0.1407 0.0000 -2.6897 7.1759" Properties=species:S:1:pos:R:3 pbc="T T T"
Pm 2.2156 -1.3449 3.5880
Pm 0.0000 2.4894 3.6583
Dy 2.2156 3.8342 0.0703
Tm 0.0000 0.0000 0.0000
Sb 2.2156 1.2343 1.7611
Sb 2.2156 3.7444 5.5556
Sb 0.0000 -0.1126 5.4759
Sb 0.0000 5.0913 1.8407
```

## Properties
For the total energy, the calculation gives -5.523 eV/atom. As for the space group: No. 10.